Crystalline SrCaAg6 at its relaxed geometry. Source: the Alexandria database, functional GGA-PBE.

The formation energy is -0.191 eV/atom. The calculation puts the magnetic moment at 0.0 μB per formula unit.

The structure belongs to space group Pmm2 (No. 25); the cell edges are 4.851, 6.539 and 5.813 Å and the angles 90.00°, 90.00° and 90.00°. The inequivalent atoms are Sr at (0.000, 0.000, 0.000), Ca at (0.500, 0.500, 0.281), Ag at (0.000, 0.243, 0.495), Ag at (0.000, 0.500, 0.914), Ag at (0.500, 0.000, 0.416) and Ag at (0.500, 0.285, 0.783).